# PBE CeYCdOs, optimized geometry
# N(E_F): 1.02 states/eV per atom
# relative energy among the computed polymorphs: 134 meV per atom
# SG: No. 216
data_CeYCdOs
_cell_length_a 5.0707
_cell_length_b 5.0707
_cell_length_c 5.0707
_cell_angle_alpha 60.00
_cell_angle_beta 60.00
_cell_angle_gamma 60.00
_symmetry_space_group_name_H-M 'P 1'
_symmetry_Int_Tables_number 1
loop_
_symmetry_equiv_pos_as_xyz
'x,y,z'
loop_
_atom_site_label
_atom_site_type_symbol
_atom_site_fract_x
_atom_site_fract_y
_atom_site_fract_z
Y1 Y 0.5000 0.5000 0.5000
Os1 Os 0.7500 0.7500 0.7500
Ce1 Ce 0.0000 0.0000 0.0000
Cd1 Cd 0.2500 0.2500 0.2500

# PBE SbPd4Pt7, optimized geometry
# N(E_F): 1.62 states/eV per atom
# final energy: -68.52 eV/cell
# SG: No. 2
data_SbPd4Pt7
_cell_length_a 4.8866
_cell_length_b 4.0102
_cell_length_c 11.2780
_cell_angle_alpha 90.07
_cell_angle_beta 107.10
_cell_angle_gamma 114.16
_symmetry_space_group_name_H-M 'P 1'
_symmetry_Int_Tables_number 1
loop_
_symmetry_equiv_pos_as_xyz
'x,y,z'
loop_
_atom_site_label
_atom_site_type_symbol
_atom_site_fract_x
_atom_site_fract_y
_atom_site_fract_z
Sb1 Sb 0.0000 0.0000 0.5000
Pd1 Pd 0.3372 0.6688 0.9162
Pd2 Pd 0.6628 0.3312 0.0838
Pd3 Pd 0.3412 0.6709 0.6707
Pd4 Pd 0.6588 0.3291 0.3293
Pt1 Pt 0.0000 0.0000 0.0000
Pt2 Pt 0.3282 0.6639 0.4139
Pt3 Pt 0.6718 0.3361 0.5861
Pt4 Pt 0.3215 0.6601 0.1617
Pt5 Pt 0.6785 0.3399 0.8383
Pt6 Pt 0.0053 0.0032 0.7521
Pt7 Pt 0.9947 0.9968 0.2479

# PBE DySc, optimized geometry
# N(E_F): 1.25 states/eV per atom
# relative energy among the computed polymorphs: 49 meV per atom
# SG: No. 221
data_DySc
_cell_length_a 3.8171
_cell_length_b 3.8171
_cell_length_c 3.8171
_cell_angle_alpha 90.00
_cell_angle_beta 90.00
_cell_angle_gamma 90.00
_symmetry_space_group_name_H-M 'P 1'
_symmetry_Int_Tables_number 1
loop_
_symmetry_equiv_pos_as_xyz
'x,y,z'
loop_
_atom_site_label
_atom_site_type_symbol
_atom_site_fract_x
_atom_site_fract_y
_atom_site_fract_z
Sc1 Sc 0.5000 0.5000 0.5000
Dy1 Dy 0.0000 0.0000 0.0000

# PBE CeThTeC, optimized geometry
# N(E_F): 1.23 states/eV per atom
# final energy: -28.76 eV/cell
# SG: No. 160
data_CeThTeC
_cell_length_a 3.8867
_cell_length_b 3.8868
_cell_length_c 7.7946
_cell_angle_alpha 90.00
_cell_angle_beta 104.44
_cell_angle_gamma 120.00
_symmetry_space_group_name_H-M 'P 1'
_symmetry_Int_Tables_number 1
loop_
_symmetry_equiv_pos_as_xyz
'x,y,z'
loop_
_atom_site_label
_atom_site_type_symbol
_atom_site_fract_x
_atom_site_fract_y
_atom_site_fract_z
Ce1 Ce 0.5108 0.1534 0.6794
Th1 Th 0.0921 0.9440 0.0514
Te1 Te 0.9697 0.3828 0.3677
C1 C 0.3053 0.5506 0.8712

# PBE DyTm4Tc, optimized geometry
# N(E_F): 0.83 states/eV per atom
# final energy: -132.40 eV/cell
# SG: No. 62
data_DyTm4Tc
_cell_length_a 3.6748
_cell_length_b 8.6790
_cell_length_c 20.2464
_cell_angle_alpha 90.00
_cell_angle_beta 90.00
_cell_angle_gamma 90.00
_symmetry_space_group_name_H-M 'P 1'
_symmetry_Int_Tables_number 1
loop_
_symmetry_equiv_pos_as_xyz
'x,y,z'
loop_
_atom_site_label
_atom_site_type_symbol
_atom_site_fract_x
_atom_site_fract_y
_atom_site_fract_z
Dy1 Dy 0.7500 0.7267 0.8123
Dy2 Dy 0.2500 0.2733 0.1877
Dy3 Dy 0.2500 0.7733 0.3123
Dy4 Dy 0.7500 0.2267 0.6877
Tm1 Tm 0.7500 0.8512 0.6429
Tm2 Tm 0.2500 0.1488 0.3571
Tm3 Tm 0.2500 0.6488 0.1429
Tm4 Tm 0.7500 0.3512 0.8571
Tm5 Tm 0.7500 0.8700 0.4552
Tm6 Tm 0.2500 0.1300 0.5448
Tm7 Tm 0.2500 0.6300 0.9552
Tm8 Tm 0.7500 0.3700 0.0448
Tm9 Tm 0.7500 0.9888 0.9337
Tm10 Tm 0.2500 0.0112 0.0663
Tm11 Tm 0.2500 0.5112 0.4337
Tm12 Tm 0.7500 0.4888 0.5663
Tm13 Tm 0.7500 0.9612 0.2065
Tm14 Tm 0.2500 0.0388 0.7935
Tm15 Tm 0.2500 0.5388 0.7065
Tm16 Tm 0.7500 0.4612 0.2935
Tc1 Tc 0.7500 0.2603 0.4545
Tc2 Tc 0.2500 0.7397 0.5455
Tc3 Tc 0.2500 0.2397 0.9545
Tc4 Tc 0.7500 0.7603 0.0455

# PBE CdPPd6, optimized geometry
# N(E_F): 0.45 states/eV per atom
# final energy: -39.63 eV/cell
# SG: No. 166
data_CdPPd6
_cell_length_a 4.4916
_cell_length_b 4.4916
_cell_length_c 7.6284
_cell_angle_alpha 72.88
_cell_angle_beta 72.88
_cell_angle_gamma 60.00
_symmetry_space_group_name_H-M 'P 1'
_symmetry_Int_Tables_number 1
loop_
_symmetry_equiv_pos_as_xyz
'x,y,z'
loop_
_atom_site_label
_atom_site_type_symbol
_atom_site_fract_x
_atom_site_fract_y
_atom_site_fract_z
Cd1 Cd 0.5000 0.5000 0.5000
P1 P 0.0000 0.0000 0.0000
Pd1 Pd 0.6354 0.6354 0.0939
Pd2 Pd 0.1055 0.1055 0.6836
Pd3 Pd 0.8945 0.8945 0.3164
Pd4 Pd 0.3646 0.3646 0.9061
Pd5 Pd 0.2361 0.2361 0.2917
Pd6 Pd 0.7639 0.7639 0.7083

# PBE PrDyLu4, optimized geometry
# N(E_F): 2.29 states/eV per atom
# final energy: -25.78 eV/cell
# SG: No. 216
data_PrDyLu4
_cell_length_a 6.5863
_cell_length_b 6.5863
_cell_length_c 6.5863
_cell_angle_alpha 60.00
_cell_angle_beta 60.00
_cell_angle_gamma 60.00
_symmetry_space_group_name_H-M 'P 1'
_symmetry_Int_Tables_number 1
loop_
_symmetry_equiv_pos_as_xyz
'x,y,z'
loop_
_atom_site_label
_atom_site_type_symbol
_atom_site_fract_x
_atom_site_fract_y
_atom_site_fract_z
Pr1 Pr 0.2500 0.2500 0.2500
Lu1 Lu 0.6251 0.6251 0.1247
Lu2 Lu 0.6251 0.1247 0.6251
Lu3 Lu 0.6251 0.6251 0.6251
Lu4 Lu 0.1247 0.6251 0.6251
Dy1 Dy 0.0000 0.0000 0.0000

# PBE Sr2CaAgRh, optimized geometry
# N(E_F): 0.71 states/eV per atom
# final energy: -16.18 eV/cell
# SG: No. 123
data_Sr2CaAgRh
_cell_length_a 5.7457
_cell_length_b 5.7457
_cell_length_c 5.4122
_cell_angle_alpha 90.00
_cell_angle_beta 90.00
_cell_angle_gamma 90.00
_symmetry_space_group_name_H-M 'P 1'
_symmetry_Int_Tables_number 1
loop_
_symmetry_equiv_pos_as_xyz
'x,y,z'
loop_
_atom_site_label
_atom_site_type_symbol
_atom_site_fract_x
_atom_site_fract_y
_atom_site_fract_z
Sr1 Sr 0.0000 0.5000 0.0000
Sr2 Sr 0.5000 0.0000 0.0000
Ca1 Ca 0.0000 0.0000 0.5000
Rh1 Rh 0.0000 0.0000 0.0000
Ag1 Ag 0.5000 0.5000 0.5000

# PBE Sm4Tl2PSe, optimized geometry
# N(E_F): 0.54 states/eV per atom
# final energy: -40.77 eV/cell
# SG: No. 10
data_Sm4Tl2PSe
_cell_length_a 4.0350
_cell_length_b 7.0476
_cell_length_c 8.3057
_cell_angle_alpha 106.05
_cell_angle_beta 90.00
_cell_angle_gamma 90.00
_symmetry_space_group_name_H-M 'P 1'
_symmetry_Int_Tables_number 1
loop_
_symmetry_equiv_pos_as_xyz
'x,y,z'
loop_
_atom_site_label
_atom_site_type_symbol
_atom_site_fract_x
_atom_site_fract_y
_atom_site_fract_z
Sm1 Sm 0.5000 0.2268 0.2080
Sm2 Sm 0.5000 0.7732 0.7920
Sm3 Sm 0.0000 0.2520 0.7852
Sm4 Sm 0.0000 0.7480 0.2148
Tl1 Tl 0.5000 0.0000 0.5000
Tl2 Tl 0.0000 0.5000 0.5000
P1 P 0.0000 0.0000 0.0000
Se1 Se 0.5000 0.5000 0.0000

What is the N(E_F) in the second record? 1.62 states/eV per atom

Please write out number 8 again, unchanged.
# PBE Sr2CaAgRh, optimized geometry
# N(E_F): 0.71 states/eV per atom
# final energy: -16.18 eV/cell
# SG: No. 123
data_Sr2CaAgRh
_cell_length_a 5.7457
_cell_length_b 5.7457
_cell_length_c 5.4122
_cell_angle_alpha 90.00
_cell_angle_beta 90.00
_cell_angle_gamma 90.00
_symmetry_space_group_name_H-M 'P 1'
_symmetry_Int_Tables_number 1
loop_
_symmetry_equiv_pos_as_xyz
'x,y,z'
loop_
_atom_site_label
_atom_site_type_symbol
_atom_site_fract_x
_atom_site_fract_y
_atom_site_fract_z
Sr1 Sr 0.0000 0.5000 0.0000
Sr2 Sr 0.5000 0.0000 0.0000
Ca1 Ca 0.0000 0.0000 0.5000
Rh1 Rh 0.0000 0.0000 0.0000
Ag1 Ag 0.5000 0.5000 0.5000

Which formula does entry 3 have? DySc

Number 8 is which compound? Sr2CaAgRh